CeSbSe: optimized geometry, PBE.

Cell: 9.3942 9.3942 9.3942 Å, 153.91 153.91 37.24°
Fractional coordinates of all 6 atoms:
Ce 0.1475 0.1475 0.0000
Ce 0.8525 0.8525 0.0000
Sb 0.0000 0.5000 0.5000
Sb 0.5000 0.0000 0.5000
Se 0.3158 0.3158 0.0000
Se 0.6842 0.6842 0.0000

Output
Electronic total energy (eV per atom): -5.8625
Total magnetization (μB/cell): 1.5
E_form (uncorrected) (eV per atom): -1.3490
Density (Mg/m³): 7.07
SG: I4/mmm

---

K3ErF7: optimized geometry, PBE.

Cell: 6.3253 6.3253 6.6873 Å, 115.92 115.92 90.40°
Fractional coordinates of all 11 atoms:
K 0.0000 0.0000 0.0000
K 0.2807 0.7286 0.4498
K 0.7286 0.2807 0.4498
Er 0.4548 0.4548 0.8981
F 0.1567 0.6314 0.7670
F 0.1718 0.1718 0.5122
F 0.3237 0.3237 0.0819
F 0.4966 0.8189 0.2064
F 0.6265 0.6265 0.7713
F 0.6314 0.1567 0.7670
F 0.8189 0.4966 0.2064

Output
Electronic total energy (eV per atom): -4.9555
Total magnetization (μB/cell): 1.2
E_form (uncorrected) (eV per atom): -3.0505
Density (Mg/m³): 3.30
SG: Cm

---

Y3Cu4: optimized geometry, PBE.

Cell: 6.4107 6.4107 4.5119 Å, 90.00 90.00 120.00°
Fractional coordinates of all 7 atoms:
Y 0.0000 0.5000 0.0000
Y 0.5000 0.0000 0.0000
Y 0.5000 0.5000 0.0000
Cu 0.0000 0.0000 0.2500
Cu 0.0000 0.0000 0.7500
Cu 0.3333 0.6667 0.5000
Cu 0.6667 0.3333 0.5000

Output
Energy above the lowest structure with this stoichiometry (meV per atom): 432
Electronic total energy (eV per atom): -4.8047
Total magnetization (μB/cell): 0.0
Density (Mg/m³): 5.39
SG: P6/mmm

---

YCdPd2: optimized geometry, PBE.

Cell: 3.5775 3.5775 6.1373 Å, 90.00 90.00 90.00°
Fractional coordinates of all 4 atoms:
Y 0.0000 0.0000 0.0000
Cd 0.0000 0.0000 0.5000
Pd 0.5000 0.5000 0.2614
Pd 0.5000 0.5000 0.7386

Output
Electronic total energy (eV per atom): -5.1186
Total magnetization (μB/cell): 0.0
Density (Mg/m³): 8.76
SG: P4/mmm

---

MgAlCd2: optimized geometry, PBE.

Cell: 3.1994 3.1994 9.8283 Å, 96.19 96.19 58.38°
Fractional coordinates of all 4 atoms:
Mg 0.0000 0.0000 0.0000
Al 0.1348 0.1348 0.4968
Cd 0.3861 0.3861 0.2544
Cd 0.6153 0.6153 0.7464

Output
Electronic total energy (eV per atom): -1.7379
Total magnetization (μB/cell): 0.0
Density (Mg/m³): 5.39
SG: Cm

---

RbBaMo3: optimized geometry, PBE.

Cell: 5.2742 5.2742 5.2742 Å, 90.00 90.00 90.00°
Fractional coordinates of all 5 atoms:
Rb 0.0000 0.0000 0.0000
Ba 0.5000 0.5000 0.5000
Mo 0.0000 0.5000 0.5000
Mo 0.5000 0.0000 0.5000
Mo 0.5000 0.5000 0.0000

Output
Energy above the lowest structure with this stoichiometry (meV per atom): 0
Electronic total energy (eV per atom): -4.0571
Total magnetization (μB/cell): 5.2
Density (Mg/m³): 5.78
SG: Pm-3m

---

KAlTl2: optimized geometry, PBE.

Cell: 5.4463 5.4463 5.4463 Å, 60.00 60.00 60.00°
Fractional coordinates of all 4 atoms:
K 0.0000 0.0000 0.0000
Al 0.5000 0.5000 0.5000
Tl 0.2500 0.2500 0.2500
Tl 0.7500 0.7500 0.7500

Output
Energy above the lowest structure with this stoichiometry (meV per atom): 85
Electronic total energy (eV per atom): -2.2792
Total magnetization (μB/cell): 0.0
Density (Mg/m³): 6.90
SG: Fm-3m

---

TmTlNi: optimized geometry, PBE.

Cell: 4.5214 4.5214 7.8549 Å, 106.84 106.84 60.12°
Fractional coordinates of all 6 atoms:
Tm 0.2456 0.2456 0.2376
Tm 0.7544 0.7544 0.7624
Tl 0.0000 0.0000 0.5000
Tl 0.5000 0.5000 0.0000
Ni 0.3684 0.3684 0.6045
Ni 0.6316 0.6316 0.3955

Output
Electronic total energy (eV per atom): -4.4308
Total magnetization (μB/cell): 0.0
Density (Mg/m³): 10.94
SG: C2/m

---

Pr12Ho7Er: optimized geometry, PBE.

Cell: 11.5714 11.5714 11.5714 Å, 116.81 116.81 116.81°
Fractional coordinates of all 20 atoms:
Pr 0.0000 0.4118 0.5882
Pr 0.0000 0.5882 0.4118
Pr 0.0825 0.0825 0.4349
Pr 0.0825 0.4349 0.0825
Pr 0.4118 0.0000 0.5882
Pr 0.4118 0.5882 0.0000
Pr 0.4349 0.0825 0.0825
Pr 0.5651 0.9175 0.9175
Pr 0.5882 0.0000 0.4118
Pr 0.5882 0.4118 0.0000
Pr 0.9175 0.5651 0.9175
Pr 0.9175 0.9175 0.5651
Ho 0.0000 0.0000 0.0000
Ho 0.1330 0.3768 0.3768
Ho 0.3768 0.1330 0.3768
Ho 0.3768 0.3768 0.1330
Ho 0.6232 0.6232 0.8670
Ho 0.6232 0.8670 0.6232
Ho 0.8670 0.6232 0.6232
Er 0.5000 0.5000 0.5000

Output
Energy above the lowest structure with this stoichiometry (meV per atom): 0
Electronic total energy (eV per atom): -4.4787
Total magnetization (μB/cell): 0.0
Density (Mg/m³): 7.11
SG: R-3m

---

Li3Tl2Ag2: optimized geometry, PBE.

Cell: 4.8562 4.8562 7.2552 Å, 105.13 105.13 56.52°
Fractional coordinates of all 7 atoms:
Li 0.0000 0.0000 0.0000
Li 0.1469 0.1469 0.4336
Li 0.8531 0.8531 0.5664
Tl 0.4304 0.4304 0.2746
Tl 0.5696 0.5696 0.7254
Ag 0.2784 0.2784 0.8474
Ag 0.7216 0.7216 0.1526

Output
Electronic total energy (eV per atom): -2.4830
Total magnetization (μB/cell): 0.0
Density (Mg/m³): 7.86
SG: C2/m

---

CeCoTcN3: optimized geometry, PBE.

Cell: 6.2055 3.3270 7.0944 Å, 90.00 106.38 90.00°
Fractional coordinates of all 12 atoms:
Ce 0.2141 0.2500 0.2240
Ce 0.7859 0.7500 0.7760
Co 0.1077 0.2500 0.6001
Co 0.8923 0.7500 0.3999
Tc 0.3127 0.7500 0.8457
Tc 0.6873 0.2500 0.1543
N 0.1069 0.2500 0.8688
N 0.2240 0.7500 0.5242
N 0.4517 0.7500 0.1470
N 0.5483 0.2500 0.8530
N 0.7760 0.2500 0.4758
N 0.8931 0.7500 0.1312

Output
Electronic total energy (eV per atom): -8.5872
Total magnetization (μB/cell): 0.0
E_form (uncorrected) (eV per atom): -0.5235
Density (Mg/m³): 8.01
SG: P2_1/m

---

Pm3NiPt3: optimized geometry, PBE.

Cell: 9.6244 9.6244 9.6244 Å, 156.20 153.98 35.55°
Fractional coordinates of all 7 atoms:
Pm 0.0000 0.0000 0.0000
Pm 0.3692 0.3692 0.0000
Pm 0.6866 0.1866 0.5000
Ni 0.2573 0.7573 0.5000
Pt 0.1250 0.6250 0.5000
Pt 0.5313 0.5313 0.0000
Pt 0.8308 0.8308 0.0000

Output
Electronic total energy (eV per atom): -6.4145
Total magnetization (μB/cell): 0.0
Density (Mg/m³): 11.37
SG: Imm2